# BaTcCl2

A relaxed BaTcCl2 crystal (PBE, the Alexandria database).

Properties
The calculation puts the raw formation energy at -0.4621 eV per atom. For the total magnetization, the calculation gives 3.009 μB/f.u. The calculation puts the distance to the lowest polymorph of the same formula at 0.1242 eV/atom. The space group is Cm (8).

Unit cell a=6.2720 b=6.2720 c=5.3221 alpha=91.39 beta=91.39 gamma=35.45
With the nearest neighbours (Å) after each atom.
Sites, in units of the cell vectors:
Ba 0.0000 0.0000 0.0000  7 Cl 3.17-3.38, 2 Tc 3.34
Tc 0.6865 0.6865 0.3096  3 Cl 2.41-2.63
Cl 0.2826 0.2826 0.0514  2 Tc 2.63
Cl 0.5115 0.5115 0.5251  1 Tc 2.41